[1]
An optimized crystal structure of Nd6SmHo4. Source: Alexandria, functional GGA-PBE.

Computed properties:
final energy = -100.83 eV per cell
ΔE to the lowest computed polymorph = 0 meV/atom

Cell and atoms, written as POSCAR:
```
Nd6SmHo4
1.0
-0.6517 -0.9164 -5.7743
5.1475 0.6650 2.3102
1.5638 -25.6149 3.8889
Nd Ho Sm
12 8 2
Direct
0.7997 0.5994 0.3999
0.5000 0.0000 0.5000
0.4485 0.8970 0.2500
0.1223 0.2446 0.3186
0.5515 0.1030 0.7500
0.8777 0.7554 0.6814
0.8777 0.7554 0.8186
0.7997 0.5994 0.1001
0.2003 0.4006 0.8999
0.1223 0.2446 0.1814
0.5000 0.0000 0.0000
0.2003 0.4006 0.6001
0.4567 0.9133 0.1237
0.1500 0.3000 0.4560
0.8500 0.7000 0.9560
0.1500 0.3000 0.0440
0.4567 0.9133 0.3763
0.8500 0.7000 0.5440
0.5433 0.0867 0.6237
0.5433 0.0867 0.8763
0.7875 0.5749 0.2500
0.2125 0.4251 0.7500
```

---

[2]
An optimized crystal structure of Nd3Sm2Ho3. Source: Alexandria, functional GGA-PBE.

Computed properties:
final energy = -37.33 eV per cell
ΔE to the lowest computed polymorph = 0 meV/atom

Cell and atoms, written as POSCAR:
```
Nd3Sm2Ho3
1.0
5.0914 0.0000 0.0000
0.0000 5.1081 0.0000
-2.5457 -2.5541 10.2124
Sm Nd Ho
2 3 3
Direct
0.2494 0.7494 0.4989
0.7506 0.2506 0.5011
0.1240 0.1240 0.2479
0.0000 0.5000 0.0000
0.8760 0.8760 0.7521
0.6251 0.6251 0.2502
0.5000 0.0000 0.0000
0.3749 0.3749 0.7498
```

---

[3]
An optimized crystal structure of NdSm6Ho2. Source: Alexandria, functional GGA-PBE.

Computed properties:
final energy = -40.42 eV per cell
ΔE to the lowest computed polymorph = 186 meV/atom

Cell and atoms, written as POSCAR:
```
NdSm6Ho2
1.0
6.1636 -0.0291 -0.0168
0.0339 7.5365 0.0078
0.0339 3.7616 6.5306
Sm Ho Nd
6 2 1
Direct
0.2910 0.8128 0.3765
0.7090 0.1872 0.6235
0.2900 0.8125 0.8125
0.2910 0.3765 0.8128
0.7090 0.6235 0.1872
0.7100 0.1875 0.1875
0.2168 0.3344 0.3344
0.7832 0.6656 0.6656
0.0000 0.0000 0.0000
```

---

[4]
An optimized crystal structure of NdSm2Ho. Source: Alexandria, functional GGA-PBE.

Computed properties:
final energy = -18.31 eV per cell
ΔE to the lowest computed polymorph = 103 meV/atom

Cell and atoms, written as POSCAR:
```
NdSm2Ho
1.0
-3.1322 2.0774 2.0094
-2.8311 -1.6090 -2.7495
-1.0084 -5.8182 4.4431
Sm Ho Nd
2 1 1
Direct
0.0000 0.0000 0.2444
0.0000 0.0000 0.7556
0.5000 0.5000 0.0000
0.5000 0.5000 0.5000
```

---

[5]
An optimized crystal structure of NdSm3Ho4. Source: Alexandria, functional GGA-PBE.

Computed properties:
final energy = -36.15 eV per cell
ΔE to the lowest computed polymorph = 113 meV/atom

Cell and atoms, written as POSCAR:
```
NdSm3Ho4
1.0
-0.0893 -3.1319 1.4445
1.2528 -5.2236 -7.1281
8.7044 -1.6446 1.0930
Ho Sm Nd
4 3 1
Direct
0.3650 0.8858 0.3842
0.6350 0.1142 0.6158
0.3650 0.3842 0.8858
0.6350 0.6158 0.1142
0.7581 0.2419 0.2419
0.2419 0.7581 0.7581
0.0000 0.5000 0.5000
0.5000 0.0000 0.0000
```

---

[6]
An optimized crystal structure of Nd2Sm8Ho. Source: Alexandria, functional GGA-PBE.

Computed properties:
final energy = -51.70 eV per cell
ΔE to the lowest computed polymorph = 0 meV/atom

Cell and atoms, written as POSCAR:
```
Nd2Sm8Ho
1.0
4.9571 0.0000 -1.3202
-0.5327 7.8507 -2.0003
-0.1006 -0.0828 9.5891
Sm Nd Ho
8 2 1
Direct
0.8646 0.8206 0.7292
0.3189 0.0909 0.6377
0.9550 0.2715 0.9099
0.6811 0.9091 0.3623
0.5900 0.4523 0.1801
0.1354 0.1794 0.2708
0.4100 0.5477 0.8199
0.0450 0.7285 0.0901
0.2268 0.6368 0.4537
0.7732 0.3632 0.5463
0.5000 0.0000 0.0000
```

---

[7]
An optimized crystal structure of Nd3Sm5Ho3. Source: Alexandria, functional GGA-PBE.

Computed properties:
final energy = -43.41 eV per cell
ΔE to the lowest computed polymorph = 417 meV/atom

Cell and atoms, written as POSCAR:
```
Nd3Sm5Ho3
1.0
5.5757 0.0000 0.0000
0.0000 9.7368 0.0000
0.0000 -4.8684 8.4323
Sm Ho Nd
5 3 3
Direct
0.5000 0.6667 0.3333
0.5000 0.3333 0.6667
0.5000 0.7298 0.0000
0.5000 0.2702 0.2702
0.5000 0.0000 0.7298
0.5000 0.0000 0.3683
0.5000 0.6317 0.6317
0.5000 0.3683 0.0000
0.0000 0.0000 0.5741
0.0000 0.5741 0.0000
0.0000 0.4259 0.4259
```

---

[8]
An optimized crystal structure of Nd5Sm12Ho2. Source: Alexandria, functional GGA-PBE.

Computed properties:
final energy = -86.37 eV per cell
ΔE to the lowest computed polymorph = 42 meV/atom

Cell and atoms, written as POSCAR:
```
Nd5Sm12Ho2
1.0
7.1840 0.0000 0.0000
-3.5920 8.6314 3.5773
0.0000 -0.1822 10.4943
Sm Nd Ho
12 5 2
Direct
0.0235 0.0471 0.7578
0.0888 0.6816 0.8671
0.5928 0.6816 0.8671
0.9112 0.3184 0.1329
0.9765 0.9529 0.2422
0.4168 0.3309 0.4801
0.5016 0.0031 0.6795
0.4072 0.3184 0.1329
0.9141 0.3309 0.4801
0.4984 0.9969 0.3205
0.0859 0.6691 0.5199
0.5832 0.6691 0.5199
0.3241 0.6481 0.2088
0.0000 0.0000 0.5000
0.1854 0.3709 0.8162
0.8146 0.6291 0.1838
0.6759 0.3519 0.7912
0.2782 0.0000 0.0000
0.7218 0.0000 0.0000
```

---

no.,size of the total moment (μB/f.u.),formation energy (eV per atom),volume (Å³/cell)
1,0.000,0.11,742.1
2,0.000,0.02,265.6
3,0.929,0.20,303.2
4,0.000,0.12,134.2
5,0.000,0.14,262.9
6,0.000,0.02,371.3
7,0.001,0.75,457.8
8,0.000,0.17,655.4